NaB2O4 after structural relaxation. Source: the Alexandria database, functional PBE.

Computed properties:
Uncorrected formation energy: -1.92 eV/atom
Total magnetization: 0.98 μB per formula unit
Total DFT energy (no corrections): -6.85 eV per atom
Space group: I422
ρ: 2.42 g/cm3

Cell and atoms, written as extended XYZ:
```
7
Lattice="-0.748 2.919 -2.741 0.443 -1.300 -4.532 -4.497 0.329 -1.449" Properties=species:S:1:pos:R:3 pbc="T T T"
Na 0.000 0.000 0.000
B -2.027 -0.485 -2.991
B -2.401 0.974 -4.361
O -1.173 0.530 -3.656
O -2.794 2.401 -4.249
O -2.382 1.008 -5.845
O -3.255 -0.041 -3.696
```